FeMoW2: optimized geometry, GGA-PBE.

spin magnetization = 2.32 Bohr magnetons per cell
energy above the most stable polymorph in this dataset = 46 meV per atom
formation energy = 0.117 eV/atom
raw total energy = -44.73 eV per formula unit

Cell lengths 2.6845, 4.4145, 5.1742 Å; angles 90.00, 98.99, 90.00 degrees
With the nearest neighbours (Å) after each atom.
Space group P2/m (No. 10)
One atom of each set of equivalent atoms:
Fe 0.0000 0.0000 0.0000 x1  2 Fe 2.68, 4 W 2.69, 2 Mo 2.72
Mo 0.5000 0.0000 0.5000 x1  2 Mo 2.68, 4 W 2.71, 2 Fe 2.72
W 0.2521 0.5000 0.7542 x2  4 W 2.68-2.76, 2 Fe 2.69, 2 Mo 2.71



NaZnGe2Ir: optimized geometry, GGA-PBE.

spin magnetization = 0.00 Bohr magnetons per cell
formation energy = 1.519 eV/atom
raw total energy = -13.09 eV per formula unit

Cell lengths 4.7939, 4.7939, 4.5491 Å; angles 90.00, 90.00, 90.00 degrees
With the nearest neighbours (Å) after each atom.
Space group P4/mmm (No. 123)
One atom of each set of equivalent atoms:
Na 0.0000 0.0000 0.0000 x1  2 Zn 2.27, 4 Ge 2.40
Zn 0.0000 0.0000 0.5000 x1  2 Na 2.27
Ge 0.0000 0.5000 0.0000 x2  2 Na 2.40
Ir 0.5000 0.5000 0.5000 x1  8 Ge 3.30, 4 Zn 3.39



CaZnAsBr: optimized geometry, GGA-PBE.

formation energy without anion corrections = -1.1726 eV per atom
spin magnetization = 0.00 Bohr magnetons per cell
raw total energy = -14.29 eV per formula unit

Cell lengths 4.2125, 4.2125, 41.9926 Å; angles 90.00, 90.00, 120.00 degrees
With the nearest neighbours (Å) after each atom.
Space group R-3m (No. 166, hexagonal axes)
One atom of each set of equivalent atoms:
Ca 0.0000 0.0000 0.0839 x6  3 Br 2.91, 3 As 3.04
Zn 0.0000 0.0000 0.3115 x6  4 As 2.55-2.62
As 0.0000 0.0000 0.3738 x6  4 Zn 2.55-2.62
Br 0.0000 0.0000 0.2115 x6  3 Ca 2.91



TbYS3: optimized geometry, GGA-PBE.

formation energy without anion corrections = -2.0268 eV per atom
spin magnetization = 0.00 Bohr magnetons per cell
raw total energy = -33.61 eV per formula unit

Cell lengths 15.9422, 4.1192, 8.3594 Å; angles 90.00, 117.62, 90.00 degrees
With the nearest neighbours (Å) after each atom.
Space group C2/m (No. 12)
One atom of each set of equivalent atoms:
Tb 0.1297 0.0000 0.2909 x4  6 S 2.68-2.87
Y 0.1479 0.5000 0.7611 x4  7 S 2.75-3.02
S 0.0452 0.5000 0.3626 x4  2 Tb 2.68, 2 Y 2.75-2.95
S 0.1435 0.0000 0.9744 x4  3 Y 2.75-3.02, 1 Tb 2.75
S 0.2344 0.0000 0.6562 x4  3 Tb 2.72-2.87, 2 Y 2.84



Cd3Br5Cl: optimized geometry, GGA-PBE.

formation energy without anion corrections = -0.8405 eV per atom
spin magnetization = 0.00 Bohr magnetons per cell
raw total energy = -20.52 eV per formula unit

Cell lengths 9.5570, 28.1759, 4.0828 Å; angles 90.00, 90.00, 90.00 degrees
With the nearest neighbours (Å) after each atom.
Space group Cmmm (No. 65)
One atom of each set of equivalent atoms:
Cd 0.0000 0.0000 0.0000 x2  4 Br 2.75, 2 Cl 2.86
Cd 0.0000 0.1615 0.5000 x4  2 Cl 2.65, 4 Br 2.78-2.92
Cd 0.0000 0.3315 0.0000 x4  6 Br 2.77-2.90
Cd 0.0000 0.5000 0.5000 x2  6 Br 2.75-2.94
Br 0.0000 0.2286 0.0000 x4  3 Cd 2.78-2.90
Br 0.0000 0.4346 0.0000 x4  3 Cd 2.75-2.90
Br 0.1928 0.0000 0.5000 x4  3 Cd 2.75-2.94
Br 0.1954 0.3329 0.5000 x8  3 Cd 2.77-2.92
Cl 0.0000 0.1016 0.0000 x4  3 Cd 2.65-2.86



LiMg3Tl3: optimized geometry, GGA-PBE.

spin magnetization = 0.00 Bohr magnetons per cell
energy above the most stable polymorph in this dataset = 29 meV per atom
formation energy = 0.011 eV/atom
raw total energy = -13.72 eV per formula unit

Cell lengths 8.4409, 8.4409, 18.1696 Å; angles 90.00, 90.00, 120.00 degrees
With the nearest neighbours (Å) after each atom.
Space group R-3 (No. 148, hexagonal axes)
One atom of each set of equivalent atoms:
Li 0.0000 0.0000 0.1651 x6  6 Tl 3.01-3.04
Mg 0.0036 0.3463 0.3829 x18  5 Tl 2.98-3.08, 2 Mg 3.32
Tl 0.0011 0.3205 0.5522 x18  5 Mg 2.98-3.08, 2 Li 3.01-3.04, 2 Tl 3.30